(1)
This record from Alexandria describes an optimized crystal structure of Sm8PS6. The functional is PBE.

a b c (Å): 10.162 10.162 4.107
angles (deg): 90.00 90.00 120.00
Fractional positions:
Sm1 0.031 0.321 0.259
Sm2 0.290 0.969 0.259
Sm3 0.321 0.290 0.741
Sm4 0.333 0.667 0.747
Sm5 0.667 0.333 0.253
Sm6 0.679 0.710 0.259
Sm7 0.710 0.031 0.741
Sm8 0.969 0.679 0.741
P1 0.000 0.000 0.500
S1 0.132 0.652 0.246
S2 0.348 0.480 0.246
S3 0.480 0.132 0.754
S4 0.520 0.868 0.246
S5 0.652 0.520 0.754
S6 0.868 0.348 0.754

Total energy (eV/cell): -90.9
D(E_F) (states/eV per cell): 7.51
Density (g/cm³): 6.447
Formation energy (no corrections) (eV/atom): -1.53

=====

(2)
This record from Alexandria describes an optimized crystal structure of CoSn2Rh2. The functional is PBE.

a b c (Å): 7.462 7.462 3.096
angles (deg): 90.00 90.00 90.00
Fractional positions:
Co1 0.000 0.000 0.000
Co2 0.500 0.500 0.000
Sn1 0.163 0.337 0.500
Sn2 0.337 0.837 0.500
Sn3 0.663 0.163 0.500
Sn4 0.837 0.663 0.500
Rh1 0.138 0.638 0.000
Rh2 0.362 0.138 0.000
Rh3 0.638 0.862 0.000
Rh4 0.862 0.362 0.000

Total energy (eV/cell): -60.1
E_form (eV per atom): -0.05
D(E_F) (states/eV per cell): 14.51
Density (g/cm³): 9.674

=====

(3)
This record from Alexandria describes an optimized crystal structure of ZrAgP2S. The functional is PBE.

a b c (Å): 4.694 4.694 4.756
angles (deg): 90.00 90.00 90.00
Fractional positions:
Zr1 0.000 0.000 0.000
Ag1 0.500 0.500 0.500
P1 0.000 0.500 0.500
P2 0.500 0.000 0.500
S1 0.500 0.500 0.000

Total energy (eV/cell): -23.0
Offset from the most stable computed form (eV per atom): 0.408
D(E_F) (states/eV per cell): 2.80
Density (g/cm³): 4.645
Formation energy (no corrections) (eV/atom): 0.67

=====

(4)
This record from Alexandria describes an optimized crystal structure of RbSn3Au. The functional is PBE.

a b c (Å): 5.592 5.592 5.592
angles (deg): 90.00 90.00 90.00
Fractional positions:
Rb1 0.000 0.000 0.000
Sn1 0.000 0.500 0.500
Sn2 0.500 0.000 0.500
Sn3 0.500 0.500 0.000
Au1 0.500 0.500 0.500

Total energy (eV/cell): -15.5
E_form (eV per atom): 0.16
Offset from the most stable computed form (eV per atom): 0.423
D(E_F) (states/eV per cell): 4.85
Density (g/cm³): 6.065